## 1
InSn2N: relaxed, GGA-PBE.

Fermi-level density of states   0.59 states/eV/f.u.
Crystal system   tetragonal

abc: 6.0109 6.0109 6.9557
angles: 64.40 64.40 90.00
With the nearest neighbours (Å) after each atom.
Fractional positions:
In 0.7500 0.2500 0.5000  4 Sn 2.87
In 0.0000 0.0000 0.0000  4 Sn 2.87
Sn 0.3750 0.4607 0.7500  2 N 2.26
Sn 0.8750 0.7893 0.7500  2 N 2.26
Sn 0.2107 0.6250 0.2500  2 N 2.26
Sn 0.5393 0.1250 0.2500  2 N 2.26
N 0.5000 0.5000 0.0000  4 Sn 2.26
N 0.2500 0.7500 0.5000  4 Sn 2.26

***

## 2
InSn2N: relaxed, GGA-PBE.

Fermi-level density of states   2.99 states/eV/f.u.
Crystal system   cubic

abc: 4.9548 4.9548 4.9548
angles: 60.00 60.00 60.00
With the nearest neighbours (Å) after each atom.
Fractional positions:
Sn 0.7500 0.7500 0.7500  4 In 3.03, 4 N 3.03
Sn 0.2500 0.2500 0.2500  4 In 3.03, 4 N 3.03
N 0.0000 0.0000 0.0000  8 Sn 3.03
In 0.5000 0.5000 0.5000  8 Sn 3.03

***

Winner for stability: 1

***

## 1
InSn3N: relaxed, GGA-PBE.

Fermi-level density of states   3.44 states/eV/f.u.
Crystal system   cubic

abc: 5.5512 5.5512 5.5512
angles: 90.00 90.00 90.00
With the nearest neighbours (Å) after each atom.
Fractional positions:
Sn 0.0000 0.5000 0.0000  2 In 2.78
Sn 0.0000 0.0000 0.5000  2 In 2.78
Sn 0.5000 0.0000 0.0000  2 In 2.78
In 0.0000 0.0000 0.0000  6 Sn 2.78
N 0.5000 0.5000 0.5000  12 Sn 3.93

***

## 2
InSn3N: relaxed, GGA-PBE.

Fermi-level density of states   2.10 states/eV/f.u.
Crystal system   cubic

abc: 4.8621 4.8621 4.8621
angles: 90.00 90.00 90.00
With the nearest neighbours (Å) after each atom.
Fractional positions:
In 0.5000 0.5000 0.5000  12 Sn 3.44
Sn 0.5000 0.0000 0.0000  2 N 2.43
Sn 0.0000 0.5000 0.0000  2 N 2.43
Sn 0.0000 0.0000 0.5000  2 N 2.43
N 0.0000 0.0000 0.0000  6 Sn 2.43

***

Winner for stability: 2

***

## 1
InSnTeN2: relaxed, GGA-PBE.

Fermi-level density of states   3.26 states/eV/f.u.
Crystal system   tetragonal

abc: 4.2445 4.2445 6.1436
angles: 90.00 90.00 90.00
With the nearest neighbours (Å) after each atom.
Fractional positions:
N 0.5000 0.0000 0.0000  2 Sn 2.12
N 0.0000 0.5000 0.0000  2 Sn 2.12
Te 0.0000 0.0000 0.5000  4 In 3.00, 2 Sn 3.07
Sn 0.0000 0.0000 0.0000  4 N 2.12
In 0.5000 0.5000 0.5000  4 Te 3.00

***

## 2
InSnTeN2: relaxed, GGA-PBE.

Fermi-level density of states   2.30 states/eV/f.u.
Crystal system   tetragonal

abc: 4.4006 4.4006 6.0537
angles: 90.00 90.00 90.00
With the nearest neighbours (Å) after each atom.
Fractional positions:
Te 0.0000 0.0000 0.5000  2 In 3.03, 4 Sn 3.11
Sn 0.5000 0.5000 0.5000  4 Te 3.11
In 0.0000 0.0000 0.0000  4 N 2.20
N 0.0000 0.5000 0.0000  2 In 2.20
N 0.5000 0.0000 0.0000  2 In 2.20

***

Winner for stability: 1

***

## 1
Sr4InN: relaxed, GGA-PBE.

Fermi-level density of states   3.19 states/eV/f.u.
Crystal system   monoclinic

abc: 6.7351 7.4958 11.0172
angles: 109.89 120.94 90.00
With the nearest neighbours (Å) after each atom.
Fractional positions:
N 0.3296 0.5815 0.1630  5 Sr 2.43-2.58
N 0.6704 0.4185 0.8370  5 Sr 2.43-2.58
Sr 0.2870 0.6907 0.3815  1 N 2.43
Sr 0.6389 0.3934 0.2604  1 N 2.49
Sr 0.3611 0.6066 0.7396  1 N 2.49
Sr 0.7130 0.3093 0.6185  1 N 2.43
Sr 0.0000 0.2703 0.0000  2 N 2.58
Sr 0.0000 0.7297 0.0000  2 N 2.58
Sr 0.3611 0.1330 0.7396  1 N 2.49
Sr 0.6389 0.8670 0.2604  1 N 2.49
In 0.1315 0.1642 0.3285  5 Sr 3.39-3.63
In 0.8685 0.8358 0.6715  5 Sr 3.39-3.63

***

## 2
Sr4InN: relaxed, GGA-PBE.

Fermi-level density of states   3.76 states/eV/f.u.
Crystal system   orthorhombic

abc: 5.3937 7.5722 10.3297
angles: 90.00 105.13 90.00
With the nearest neighbours (Å) after each atom.
Fractional positions:
Sr 0.8222 0.0064 0.6444  1 N 2.47
Sr 0.8222 0.4936 0.6444  1 N 2.47
Sr 0.1778 0.5064 0.3556  1 N 2.47
Sr 0.4153 0.2500 0.8306  2 N 2.70
Sr 0.5847 0.7500 0.1694  2 N 2.70
Sr 0.0000 0.0000 0.0000  2 N 2.68
Sr 0.0000 0.5000 0.0000  2 N 2.68
Sr 0.1778 0.9936 0.3556  1 N 2.47
In 0.6085 0.2500 0.2171  11 Sr 3.60-3.94
In 0.3915 0.7500 0.7829  11 Sr 3.60-3.94
N 0.9050 0.2500 0.8099  6 Sr 2.47-2.70
N 0.0950 0.7500 0.1901  6 Sr 2.47-2.70

***

Winner for stability: 2

***

## 1
Sr4In2N: relaxed, GGA-PBE.

Fermi-level density of states   7.91 states/eV/f.u.
Crystal system   tetragonal

abc: 5.3087 5.3087 9.2294
angles: 73.29 73.29 90.00
With the nearest neighbours (Å) after each atom.
Fractional positions:
Sr 0.1567 0.1567 0.6866  1 N 2.64
Sr 0.5000 0.0000 0.0000  2 N 2.65
Sr 0.8433 0.8433 0.3134  1 N 2.64
Sr 0.0000 0.5000 0.0000  2 N 2.65
In 0.3629 0.3629 0.2741  9 Sr 3.48-3.77
In 0.6371 0.6371 0.7259  9 Sr 3.48-3.77
N 0.0000 0.0000 0.0000  6 Sr 2.64-2.65

***

## 2
Sr4In2N: relaxed, GGA-PBE.

Fermi-level density of states   7.65 states/eV/f.u.
Crystal system   orthorhombic

abc: 3.6525 5.5372 13.6721
angles: 101.68 90.00 90.00
With the nearest neighbours (Å) after each atom.
Fractional positions:
In 0.5000 0.1698 0.3397  6 Sr 3.44-3.85, 2 In 3.65
In 0.5000 0.8302 0.6603  6 Sr 3.44-3.85, 2 In 3.65
Sr 0.0000 0.7036 0.4072  6 In 3.44-3.85, 4 Sr 3.65-3.72
Sr 0.5000 0.4395 0.8791  2 N 2.44
Sr 0.0000 0.2964 0.5928  6 In 3.44-3.85, 4 Sr 3.65-3.72
Sr 0.5000 0.5605 0.1209  2 N 2.44
N 0.0000 0.5000 0.0000  4 Sr 2.44

***

## 3
Sr4In2N: relaxed, GGA-PBE.

Fermi-level density of states   3.34 states/eV/f.u.
Crystal system   tetragonal

abc: 15.9113 15.9113 15.9113
angles: 160.92 160.92 27.11
With the nearest neighbours (Å) after each atom.
Fractional positions:
In 0.4091 0.4091 0.0000  2 In 3.38, 6 Sr 3.56-3.74
In 0.3409 0.8409 0.5000  2 In 3.38, 6 Sr 3.56-3.74
In 0.1591 0.6591 0.5000  2 In 3.38, 6 Sr 3.56-3.74
In 0.5909 0.5909 0.0000  2 In 3.38, 6 Sr 3.56-3.74
Sr 0.7501 0.7501 0.0000  2 N 2.64
Sr 0.9999 0.4999 0.5000  2 N 2.64
Sr 0.2499 0.2499 0.0000  2 N 2.64
Sr 0.8319 0.3319 0.5000  1 N 2.53
Sr 0.6681 0.1681 0.5000  1 N 2.53
Sr 0.9181 0.9181 0.0000  1 N 2.53
Sr 0.5001 0.0001 0.5000  2 N 2.64
Sr 0.0819 0.0819 0.0000  1 N 2.53
N 0.7500 0.2500 0.5000  6 Sr 2.53-2.64
N 0.0000 0.0000 0.0000  6 Sr 2.53-2.64

***

Winner for stability: 3

***

## 1
TaInTe2N: relaxed, GGA-PBE.

Fermi-level density of states   8.66 states/eV/f.u.
Crystal system   tetragonal

abc: 5.6766 5.6766 4.0079
angles: 90.00 90.00 90.00
With the nearest neighbours (Å) after each atom.
Fractional positions:
In 0.0000 0.0000 0.0000  2 N 2.00
Te 0.0000 0.5000 0.0000  2 In 2.84
Te 0.5000 0.0000 0.0000  2 In 2.84
Ta 0.5000 0.5000 0.5000  8 Te 3.47
N 0.0000 0.0000 0.5000  2 In 2.00

***

## 2
TaInTe2N: relaxed, GGA-PBE.

Fermi-level density of states   5.39 states/eV/f.u.
Crystal system   tetragonal

abc: 5.7009 5.7009 4.0094
angles: 90.00 90.00 90.00
With the nearest neighbours (Å) after each atom.
Fractional positions:
Te 0.5000 0.0000 0.0000  2 Ta 2.85
Te 0.0000 0.5000 0.0000  2 Ta 2.85
In 0.5000 0.5000 0.5000  8 Te 3.48
N 0.0000 0.0000 0.5000  2 Ta 2.00
Ta 0.0000 0.0000 0.0000  2 N 2.00

***

Winner for stability: 2